No. 1
VASP calculation (PBE-GGA) on a relaxed structure of CaAl2Ge.

Unit cell a=6.433 b=6.433 c=7.879 alpha=65.90 beta=65.90 gamma=90.00
Positions (direct):
1 Al 0.375 0.277 0.750
2 Al 0.027 0.625 0.250
3 Al 0.875 0.973 0.750
4 Al 0.723 0.125 0.250
5 Ca 0.500 0.500 0.000
6 Ca 0.250 0.750 0.500
7 Ge 0.750 0.250 0.500
8 Ge 0.000 0.000 0.000

Output
total magnetization	0.000	μB per atom
energy of formation from the pure elements	0.437	eV/atom
symmetry	I-42d
N(E_F)	0.50	states/eV/atom


No. 2
VASP calculation (PBE-GGA) on a relaxed structure of CrBS2.

Unit cell a=7.024 b=7.024 c=7.024 alpha=24.47 beta=24.47 gamma=24.47
Positions (direct):
1 S 0.108 0.108 0.108
2 S 0.892 0.892 0.892
3 B 0.500 0.500 0.500
4 Cr 0.000 0.000 0.000

Output
total magnetization	0.000	μB per atom
energy relative to the elements, uncorrected	0.53	eV/atom
symmetry	R-3m
N(E_F)	1.14	states/eV/atom


No. 3
VASP calculation (PBE-GGA) on a relaxed structure of AcSmIrPd.

Unit cell a=4.003 b=4.486 c=5.949 alpha=90.00 beta=109.66 gamma=90.00
Positions (direct):
1 Pd 0.582 0.500 0.163
2 Sm 0.866 0.500 0.733
3 Ir 0.410 0.000 0.820
4 Ac 0.142 0.000 0.283

Output
total magnetization	0.000	μB per atom
energy of formation from the pure elements	-0.730	eV/atom
ΔE to the lowest computed polymorph	0.000	eV per atom
symmetry	Amm2
N(E_F)	0.56	states/eV/atom


No. 4
VASP calculation (PBE-GGA) on a relaxed structure of TbAl2Tc.

Unit cell a=3.210 b=3.210 c=7.143 alpha=90.00 beta=90.00 gamma=90.00
Positions (direct):
1 Tb 0.500 0.500 0.500
2 Al 0.000 0.000 0.187
3 Al 0.000 0.000 0.813
4 Tc 0.500 0.500 0.000

Output
total magnetization	0.000	μB per atom
energy of formation from the pure elements	-0.331	eV/atom
ΔE to the lowest computed polymorph	0.000	eV per atom
symmetry	P4/mmm
N(E_F)	1.09	states/eV/atom


No. 5
VASP calculation (PBE-GGA) on a relaxed structure of Pr8Hg2Os.

Unit cell a=5.045 b=8.874 c=9.065 alpha=119.31 beta=106.16 gamma=90.00
Positions (direct):
1 Pr 0.118 0.118 0.236
2 Pr 0.347 0.583 0.695
3 Pr 0.000 0.334 0.000
4 Pr 0.653 0.888 0.305
5 Pr 0.882 0.882 0.764
6 Pr 0.653 0.417 0.305
7 Pr 0.000 0.666 0.000
8 Pr 0.347 0.112 0.695
9 Hg 0.801 0.301 0.602
10 Hg 0.199 0.699 0.398
11 Os 0.500 0.000 0.000

Output
total magnetization	0.000	μB per atom
energy of formation from the pure elements	-0.062	eV/atom
ΔE to the lowest computed polymorph	0.103	eV per atom
symmetry	Immm
N(E_F)	0.92	states/eV/atom


No. 6
VASP calculation (PBE-GGA) on a relaxed structure of TiZn.

Unit cell a=5.114 b=5.114 c=5.306 alpha=90.00 beta=90.00 gamma=90.00
Last column: magnetic moment on the atom in μB.
Positions (direct):
1 Ti 0.180 0.180 0.500  0.62
2 Ti 0.820 0.820 0.500  0.62
3 Ti 0.680 0.320 0.000  0.62
4 Ti 0.320 0.680 0.000  0.62
5 Zn 0.821 0.821 0.000  0.03
6 Zn 0.321 0.679 0.500  0.03
7 Zn 0.679 0.321 0.500  0.03
8 Zn 0.179 0.179 0.000  0.03

Output
total magnetization	0.389	μB per atom
energy of formation from the pure elements	0.235	eV/atom
symmetry	P4_2/mnm
N(E_F)	1.20	states/eV/atom


No. 7
VASP calculation (PBE-GGA) on a relaxed structure of AlTcBr2.

Unit cell a=8.005 b=8.005 c=4.070 alpha=74.76 beta=74.76 gamma=23.15
Positions (direct):
1 Br 0.110 0.110 0.894
2 Br 0.390 0.390 0.606
3 Tc 0.750 0.750 0.750
4 Al 0.250 0.250 0.250

Output
total magnetization	0.000	μB per atom
energy relative to the elements, uncorrected	-0.06	eV/atom
ΔE to the lowest computed polymorph	0.144	eV per atom
symmetry	C2/m
N(E_F)	0.53	states/eV/atom


No. 8
VASP calculation (PBE-GGA) on a relaxed structure of CsKTl2.

Unit cell a=5.479 b=8.748 c=9.293 alpha=90.00 beta=90.00 gamma=108.17
Positions (direct):
1 Tl 0.751 0.502 0.917
2 Tl 0.249 0.498 0.417
3 Tl 0.249 0.498 0.083
4 Tl 0.751 0.502 0.583
5 Cs 0.591 0.182 0.250
6 Cs 0.409 0.818 0.750
7 K 0.868 0.737 0.250
8 K 0.132 0.263 0.750

Output
total magnetization	0.000	μB per atom
energy of formation from the pure elements	-0.070	eV/atom
ΔE to the lowest computed polymorph	0.000	eV per atom
symmetry	P2_1/m
N(E_F)	0.62	states/eV/atom


No. 9
VASP calculation (PBE-GGA) on a relaxed structure of AcY4Ho7.

Unit cell a=6.035 b=11.426 c=6.829 alpha=83.03 beta=63.78 gamma=74.69
Positions (direct):
1 Y 0.261 0.314 0.163
2 Y 0.376 0.775 0.473
3 Y 0.739 0.686 0.837
4 Y 0.624 0.225 0.527
5 Ho 0.949 0.347 0.756
6 Ho 0.051 0.653 0.244
7 Ho 0.500 0.000 0.000
8 Ho 0.216 0.080 0.488
9 Ho 0.636 0.490 0.239
10 Ho 0.784 0.920 0.512
11 Ho 0.364 0.510 0.761
12 Ac 0.000 0.000 0.000

Output
total magnetization	0.000	μB per atom
energy of formation from the pure elements	0.310	eV/atom
ΔE to the lowest computed polymorph	0.296	eV per atom
symmetry	C2/m
N(E_F)	1.82	states/eV/atom


No. 10
VASP calculation (PBE-GGA) on a relaxed structure of Mg2InNiPb.

Unit cell a=4.928 b=4.928 c=4.910 alpha=90.00 beta=90.00 gamma=90.00
Positions (direct):
1 Mg 0.500 0.000 0.000
2 Mg 0.000 0.500 0.000
3 Ni 0.000 0.000 0.000
4 Pb 0.500 0.500 0.500
5 In 0.000 0.000 0.500

Output
total magnetization	0.000	μB per atom
energy of formation from the pure elements	0.002	eV/atom
ΔE to the lowest computed polymorph	0.000	eV per atom
symmetry	P4/mmm
N(E_F)	0.49	states/eV/atom


No. 11
VASP calculation (PBE-GGA) on a relaxed structure of BeZn2Cl.

Unit cell a=3.095 b=3.094 c=7.344 alpha=90.00 beta=90.00 gamma=90.00
Positions (direct):
1 Zn 0.000 0.000 0.992
2 Zn 0.500 0.500 0.436
3 Be 0.000 0.000 0.295
4 Cl 0.500 0.500 0.776

Output
total magnetization	0.000	μB per atom
energy relative to the elements, uncorrected	0.03	eV/atom
ΔE to the lowest computed polymorph	0.123	eV per atom
symmetry	P4mm
N(E_F)	0.40	states/eV/atom


No. 12
VASP calculation (PBE-GGA) on a relaxed structure of Cs2BeHSe2.

Unit cell a=5.730 b=10.786 c=9.064 alpha=126.51 beta=108.43 gamma=90.00
Last column: magnetic moment on the atom in μB.
Positions (direct):
1 Cs 0.871 0.683 0.743  0.01
2 Cs 0.129 0.317 0.257  0.01
3 Cs 0.629 0.941 0.257  0.01
4 Cs 0.371 0.059 0.743  0.01
5 H 0.250 0.000 0.000  0.14
6 H 0.750 0.000 0.000  0.14
7 Se 0.596 0.486 0.192  0.19
8 Se 0.096 0.706 0.192  0.19
9 Se 0.904 0.294 0.808  0.19
10 Se 0.404 0.514 0.808  0.19
11 Be 0.250 0.500 0.000  -0.01
12 Be 0.750 0.500 0.000  -0.01

Output
total magnetization	0.169	μB per atom
symmetry	Ibam
N(E_F)	0.59	states/eV/atom
E_tot	-3.178	eV per atom


> Which formula does entry 1 have?

CaAl2Ge


> Among the records above, which one has the lowest N(E_F)?

BeZn2Cl